Record 1
YTa2Os2, single point on PBEsol structure, DFT SCAN; uncorrected energy = -61.43 eV per atom; calculated formation energy = -2.39 eV/f.u.; size of the total moment = 0.0 μB per formula unit
1.0
-4.0522 1.1158 1.0171
-0.6588 -3.9280 1.6843
4.0314 3.1620 3.3999
Y Os Ta
1 2 2
direct
0.0000 0.0000 0.0000
0.3822 0.3822 0.7643
0.6178 0.6178 0.2357
0.2500 0.7500 0.5000
0.7500 0.2500 0.5000


Record 2
KCu4P3, single point on PBEsol structure, DFT SCAN; uncorrected energy = -12.73 eV per atom; calculated formation energy = -1.52 eV/f.u.; size of the total moment = 0.0 μB per formula unit
1.0
4.0267 0.0000 0.0000
0.0000 4.0267 0.0000
0.0000 0.0000 7.2863
Cu K P
4 1 3
direct
0.5000 0.0000 0.1754
0.0000 0.5000 0.1754
0.5000 0.0000 0.8246
0.0000 0.5000 0.8246
0.0000 0.0000 0.5000
0.0000 0.0000 0.0000
0.5000 0.5000 0.3456
0.5000 0.5000 0.6544


Record 3
La4CoCl, single point on PBEsol structure, DFT SCAN; formation energy without anion corrections = 10.475 kcal/mol of atoms; uncorrected energy = -32.50 eV per atom; size of the total moment = 0.4 μB per formula unit
1.0
-0.3441 0.9835 6.0960
-2.3150 -4.3716 3.7116
3.7328 -3.0861 3.8456
Cl Co La
1 1 4
direct
0.7500 0.7500 0.7500
0.0000 0.0000 0.0000
0.3745 0.3745 0.3745
0.3745 0.3745 0.8764
0.8764 0.3745 0.3745
0.3745 0.8764 0.3745


Record 4
Zr2PW, single point on PBEsol structure, DFT SCAN; uncorrected energy = -35.77 eV per atom; calculated formation energy = -1.60 eV/f.u.; size of the total moment = 0.0 μB per formula unit
1.0
-0.4614 2.3513 2.5353
-4.4089 -0.2804 -0.5424
-0.1618 -3.2760 3.0088
P W Zr
1 1 2
direct
0.5000 0.5000 0.5000
0.5000 0.0000 0.0000
0.0000 0.0000 0.5000
0.0000 0.5000 0.0000


Record 5
LaScCd, single point on PBEsol structure, DFT SCAN; polymorph energy (0 for the lowest one) = 2.255 eV per formula unit; uncorrected energy = -28.74 eV per atom; calculated formation energy = 1.52 eV/f.u.; size of the total moment = 0.0 μB per formula unit
1.0
5.0291 0.0000 0.0000
2.5146 4.3553 0.0000
2.5146 1.4518 4.1063
Cd La Sc
1 1 1
direct
0.5000 0.5000 0.5000
0.7500 0.7500 0.7500
0.0000 0.0000 0.0000


Record 6
SiPBrO2, single point on PBEsol structure, DFT SCAN; polymorph energy (0 for the lowest one) = 8.328 eV per formula unit; formation energy without anion corrections = 19.432 kcal/mol of atoms; uncorrected energy = -9.62 eV per atom; size of the total moment = 0.0 μB per formula unit
1.0
-0.1271 1.7131 3.3771
-2.3529 -2.6833 1.2726
3.9907 -2.7634 1.5519
P Si O Br
1 1 2 1
direct
0.0000 0.0000 0.5000
0.5000 0.5000 0.5000
0.0000 0.5000 0.0000
0.5000 0.0000 0.0000
0.0000 0.0000 0.0000


Record 7
NaSc3Al, single point on PBEsol structure, DFT SCAN; uncorrected energy = -9.94 eV per atom; calculated formation energy = 4.98 eV/f.u.; size of the total moment = 2.5 μB per formula unit
1.0
4.9961 0.0000 0.0000
0.0000 4.9961 0.0000
0.0000 0.0000 4.9961
Sc Na Al
3 1 1
direct
0.0000 0.5000 0.0000
0.0000 0.0000 0.5000
0.5000 0.0000 0.0000
0.0000 0.0000 0.0000
0.5000 0.5000 0.5000


Record 8
CoMoPt2, single point on PBEsol structure, DFT SCAN; polymorph energy (0 for the lowest one) = 1.050 eV per formula unit; uncorrected energy = -48.17 eV per atom; calculated formation energy = -0.10 eV/f.u.; size of the total moment = 2.6 μB per formula unit
1.0
-0.8915 -0.2661 2.5131
3.6258 -2.7061 0.9997
2.4385 3.7329 1.2602
Mo Co Pt
1 1 2
direct
0.5000 0.0000 0.0000
0.5000 0.5000 0.5000
0.0000 0.0000 0.5000
0.0000 0.5000 0.0000


Record 9
Ca2Y2Ta, single point on PBEsol structure, DFT SCAN; uncorrected energy = -27.23 eV per atom; calculated formation energy = 5.46 eV/f.u.; size of the total moment = 3.0 μB per formula unit
1.0
-0.1956 2.8826 -3.0634
-3.6811 1.3666 1.5210
6.2641 3.7168 5.9916
Y Ca Ta
2 2 1
direct
0.2500 0.7500 0.5000
0.7500 0.2500 0.5000
0.4119 0.4119 0.8239
0.5881 0.5881 0.1761
0.0000 0.0000 0.0000


Record 10
Na2CrOsRu, single point on PBEsol structure, DFT SCAN; uncorrected energy = -24.70 eV per atom; calculated formation energy = 10.04 eV/f.u.; size of the total moment = 5.8 μB per formula unit
1.0
-2.9159 -2.4365 -2.0265
3.4049 -1.8203 -2.7107
0.6771 -3.4376 3.1589
Na Ru Os Cr
2 1 1 1
direct
0.0000 0.0000 0.5000
0.0000 0.5000 0.0000
0.5000 0.0000 0.0000
0.5000 0.5000 0.5000
0.0000 0.0000 0.0000


Record 11
FeSbIr3, single point on PBEsol structure, DFT SCAN; formation energy without anion corrections = 33.533 kcal/mol of atoms; uncorrected energy = -52.28 eV per atom; size of the total moment = 0.0 μB per formula unit
1.0
4.4505 0.0000 0.0000
0.0000 4.4505 0.0000
0.0000 0.0000 4.4505
Sb Ir Fe
1 3 1
direct
0.5000 0.5000 0.5000
0.0000 0.5000 0.0000
0.0000 0.0000 0.5000
0.5000 0.0000 0.0000
0.0000 0.0000 0.0000


Record 12
Dy9Al5S21, single point on PBEsol structure, DFT SCAN; formation energy without anion corrections = -45.465 kcal/mol of atoms; uncorrected energy = -21.15 eV per atom; size of the total moment = 0.0 μB per formula unit
1.0
-9.1076 2.3910 -6.1277
6.3182 -2.5547 -8.9313
-3.0724 -10.6432 1.8700
Dy Al S
18 10 42
direct
0.8840 0.7378 0.1140
0.2263 0.0686 0.4525
0.5542 0.3953 0.7646
0.7646 0.5542 0.3953
0.1140 0.8840 0.7378
0.4525 0.2263 0.0686
0.0686 0.4525 0.2263
0.3953 0.7646 0.5542
0.7378 0.1140 0.8840
0.4315 0.5860 0.2094
0.7723 0.9311 0.5476
0.0966 0.2463 0.8763
0.5476 0.7723 0.9311
0.8763 0.0966 0.2463
0.2094 0.4315 0.5860
0.2463 0.8763 0.0966
0.5860 0.2094 0.4315
0.9311 0.5476 0.7723
0.3877 0.0477 0.7195
0.7195 0.3877 0.0477
0.0477 0.7195 0.3877
0.2241 0.5480 0.8828
0.5480 0.8828 0.2241
0.8828 0.2241 0.5480
0.8588 0.8588 0.8588
0.1753 0.1753 0.1753
0.6769 0.6769 0.6769
0.3570 0.3570 0.3570
0.5102 0.1730 0.8409
0.8409 0.5102 0.1730
0.1730 0.8409 0.5102
0.0089 0.3406 0.6744
0.3406 0.6744 0.0089
0.6744 0.0089 0.3406
0.4117 0.3077 0.5555
0.7614 0.6627 0.8938
0.0994 0.9949 0.2376
0.2376 0.0994 0.9949
0.5555 0.4117 0.3077
0.8938 0.7614 0.6627
0.6627 0.8938 0.7614
0.9949 0.2376 0.0994
0.3077 0.5555 0.4117
0.2825 0.3802 0.1495
0.6200 0.7288 0.4862
0.9421 0.0428 0.7946
0.4862 0.6200 0.7288
0.7946 0.9421 0.0428
0.1495 0.2825 0.3802
0.0428 0.7946 0.9421
0.3802 0.1495 0.2825
0.7288 0.4862 0.6200
0.4503 0.0056 0.5374
0.7861 0.3524 0.8667
0.1089 0.6893 0.2022
0.2022 0.1089 0.6893
0.5374 0.4503 0.0056
0.8667 0.7861 0.3524
0.3524 0.8667 0.7861
0.6893 0.2022 0.1089
0.0056 0.5374 0.4503
0.0596 0.4778 0.9646
0.3800 0.8133 0.2987
0.7148 0.1599 0.6304
0.2987 0.3800 0.8133
0.6304 0.7148 0.1599
0.9646 0.0596 0.4778
0.1599 0.6304 0.7148
0.4778 0.9646 0.0596
0.8133 0.2987 0.3800